This record from the Alexandria database describes a relaxed SiMoNF2 crystal. The functional is PBE+U.

Distance to the lowest polymorph of the same formula (eV per formula unit): 0.00
D(E_F) (states/eV/atom): 0.17
Crystal system: tetragonal
SG: P4/mmm
V (Å³/atom): 12.3

Unit cell a=4.3199 b=4.3199 c=3.3090 alpha=90.00 beta=90.00 gamma=90.00
Last column: magnetic moment on the atom in μB.
Atoms (fractional coordinates):
F 0.5000 0.0000 0.0000  0.06
N 0.0000 0.0000 0.5000  0.02
Si 0.0000 0.0000 0.0000  0.00
Mo 0.5000 0.5000 0.5000  4.22
F 0.0000 0.5000 0.0000  0.06